[1]
DFT (PBE) results for an optimized crystal structure of TiMo3W2.

abc: 5.2957 9.4410 6.1479
angles: 140.16 90.00 90.00
Closest atoms and distances in Å follow each position.
Sites, in units of the cell vectors:
1 Ti 0.2500 0.2438 0.0000  6 W 2.64-2.95, 2 Mo 2.76
2 Mo 0.0000 0.1666 0.3332  4 Mo 2.62-2.65, 2 W 2.75
3 Mo 0.5000 0.5000 0.0000  4 Mo 2.63-2.65, 2 Ti 2.76
4 W 0.2500 0.5796 0.6693  1 W 2.60, 1 Ti 2.64, 2 Mo 2.75
5 Mo 0.5000 0.8334 0.6669  4 Mo 2.62-2.65, 2 W 2.75
6 W 0.7500 0.0897 0.6693  1 W 2.60, 1 Ti 2.64, 2 Mo 2.75
7 Mo 0.0000 0.8334 0.6669  4 Mo 2.62-2.65, 2 W 2.75
8 Ti 0.7500 0.7562 0.0000  6 W 2.64-2.95, 2 Mo 2.76
9 Mo 0.0000 0.5000 0.0000  4 Mo 2.63-2.65, 2 Ti 2.76
10 Mo 0.5000 0.1666 0.3332  4 Mo 2.62-2.65, 2 W 2.75
11 W 0.7500 0.4204 0.3307  1 W 2.60, 1 Ti 2.64, 2 Mo 2.75
12 W 0.2500 0.9103 0.3307  1 W 2.60, 1 Ti 2.64, 2 Mo 2.75

Calculated values
crystal system	orthorhombic
energy of formation	28	kJ per mole of atoms
space group	No. 63

---

[2]
DFT (PBE) results for an optimized crystal structure of Rb3ZnCu2F9.

abc: 5.8799 5.8799 7.1983
angles: 90.00 90.00 120.00
Closest atoms and distances in Å follow each position.
Sites, in units of the cell vectors:
1 F 0.5000 0.5000 0.0000  2 Cu 2.07
2 F 0.3334 0.1667 0.6679  1 Zn 2.08, 1 Cu 2.08
3 F 0.1667 0.8333 0.3321  1 Zn 2.08, 1 Cu 2.08
4 Rb 0.0000 0.0000 0.0000  12 F 2.93-2.94
5 Rb 0.6667 0.3333 0.3344  12 F 2.94-2.95
6 Rb 0.3333 0.6667 0.6656  12 F 2.94-2.95
7 F 0.8333 0.1667 0.6679  1 Zn 2.08, 1 Cu 2.08
8 F 0.0000 0.5000 0.0000  2 Cu 2.07
9 Zn 0.0000 0.0000 0.5000  6 F 2.08
10 F 0.8333 0.6666 0.6679  1 Zn 2.08, 1 Cu 2.08
11 F 0.5000 0.0000 0.0000  2 Cu 2.07
12 F 0.1667 0.3334 0.3321  1 Zn 2.08, 1 Cu 2.08
13 Cu 0.6667 0.3333 0.8360  6 F 2.07-2.08
14 Cu 0.3333 0.6667 0.1640  6 F 2.07-2.08
15 F 0.6666 0.8333 0.3321  1 Zn 2.08, 1 Cu 2.08

Calculated values
crystal system	trigonal
formation energy (no corrections)	-2220	meV per atom
space group	No. 164

---

[3]
DFT (PBE) results for an optimized crystal structure of LaSiRu4.

abc: 5.2749 5.2749 5.2749
angles: 60.00 60.00 60.00
Closest atoms and distances in Å follow each position.
Sites, in units of the cell vectors:
1 Ru 0.6234 0.6234 0.6234  6 Ru 2.60-2.67
2 Ru 0.6234 0.6234 0.1299  6 Ru 2.60-2.67
3 Si 0.2500 0.2500 0.2500  12 Ru 3.09, 4 La 3.23
4 Ru 0.6234 0.1299 0.6234  6 Ru 2.60-2.67
5 La 0.0000 0.0000 0.0000  12 Ru 3.10, 4 Si 3.23
6 Ru 0.1299 0.6234 0.6234  6 Ru 2.60-2.67

Calculated values
crystal system	cubic
formation energy (no corrections)	227	meV per atom
space group	No. 216

---

[4]
DFT (PBE) results for an optimized crystal structure of Li2FeSi.

abc: 4.0395 4.0395 4.0395
angles: 60.00 60.00 60.00
Closest atoms and distances in Å follow each position.
Sites, in units of the cell vectors:
1 Si 0.7500 0.7500 0.7500  4 Fe 2.47, 4 Li 2.47
2 Fe 0.5000 0.5000 0.5000  4 Li 2.47, 4 Si 2.47
3 Li 0.0000 0.0000 0.0000  4 Si 2.47, 4 Li 2.47
4 Li 0.2500 0.2500 0.2500  4 Fe 2.47, 4 Li 2.47

Calculated values
crystal system	cubic
formation energy (no corrections)	-101	meV per atom
space group	No. 216

---

[5]
DFT (PBE) results for an optimized crystal structure of TlRhSeS.

abc: 3.7460 3.7455 7.6690
angles: 89.99 104.17 120.00
Closest atoms and distances in Å follow each position.
Sites, in units of the cell vectors:
1 Se 0.0745 0.9350 0.0246  3 Rh 2.51
2 S 0.5224 0.1591 0.6970  3 Rh 2.45
3 Tl 0.9880 0.3924 0.3954  3 S 3.10, 1 Rh 3.36
4 Rh 0.2930 0.5443 0.8527  3 S 2.45, 3 Se 2.51

Calculated values
crystal system	trigonal
formation energy (no corrections)	-394	meV per atom
space group	No. 160

---

[6]
DFT (PBE) results for an optimized crystal structure of SbS7IF6.

abc: 9.5709 12.2888 12.7456
angles: 90.00 90.00 90.00
Closest atoms and distances in Å follow each position.
Sites, in units of the cell vectors:
1 F 0.5716 0.5402 0.5318  1 Sb 1.93
2 F 0.1564 0.9432 0.2657  1 Sb 1.95
3 S 0.6461 0.8767 0.2905  1 S 1.90
4 I 0.4238 0.5306 0.8551  1 S 2.36
5 Sb 0.3320 0.1510 0.8889  6 F 1.91-1.95
6 S 0.0977 0.8162 0.8877  2 S 1.96-2.17
7 S 0.5432 0.9401 0.1782  1 S 1.90
8 F 0.2631 0.7419 0.3056  1 Sb 1.92
9 S 0.9568 0.0599 0.6782  1 S 1.90
10 F 0.7369 0.2419 0.1944  1 Sb 1.92
11 F 0.0084 0.2879 0.1508  1 Sb 1.92
12 S 0.2020 0.6339 0.0636  2 S 1.99-2.12
13 F 0.3232 0.2436 0.0100  1 Sb 1.92
14 Sb 0.1680 0.8490 0.3889  6 F 1.91-1.95
15 S 0.9023 0.3162 0.6123  2 S 1.96-2.17
16 F 0.6768 0.7436 0.4900  1 Sb 1.92
17 S 0.3228 0.2006 0.2470  1 S 1.96
18 S 0.5977 0.6838 0.1123  2 S 1.96-2.17
19 S 0.1772 0.7994 0.7470  1 S 1.96
20 F 0.0716 0.9598 0.4682  1 Sb 1.93
21 S 0.4023 0.1838 0.3877  2 S 1.96-2.17
22 I 0.5762 0.0306 0.6449  1 S 2.36
23 F 0.1579 0.0845 0.9247  1 Sb 1.91
24 I 0.9238 0.9694 0.1449  1 S 2.36
25 S 0.1461 0.6233 0.7095  1 S 1.90
26 I 0.0762 0.4694 0.3551  1 S 2.36
27 S 0.2647 0.7708 0.9944  2 S 1.99-2.17
28 S 0.7020 0.8661 0.9364  2 S 1.99-2.12
29 S 0.8539 0.1233 0.7905  1 S 1.90
30 F 0.8232 0.2564 0.9900  1 Sb 1.92
31 Sb 0.8320 0.3490 0.1111  6 F 1.91-1.95
32 F 0.3436 0.0568 0.7657  1 Sb 1.95
33 F 0.3421 0.9155 0.4247  1 Sb 1.91
34 F 0.6564 0.5568 0.7343  1 Sb 1.95
35 F 0.6579 0.4155 0.0753  1 Sb 1.91
36 S 0.7192 0.9962 0.0454  1 S 2.12, 1 I 2.36
37 F 0.5084 0.2121 0.8492  1 Sb 1.92
38 F 0.8421 0.5845 0.5753  1 Sb 1.91
39 S 0.6772 0.7006 0.2530  1 S 1.96
40 S 0.2808 0.4962 0.4546  1 S 2.12, 1 I 2.36
41 F 0.1768 0.7564 0.5100  1 Sb 1.92
42 F 0.2369 0.2581 0.8056  1 Sb 1.92
43 F 0.4284 0.0402 0.9682  1 Sb 1.93
44 F 0.4916 0.7121 0.6508  1 Sb 1.92
45 Sb 0.6680 0.6510 0.6111  6 F 1.91-1.95
46 S 0.8228 0.2994 0.7530  1 S 1.96
47 S 0.2192 0.5038 0.9546  1 S 2.12, 1 I 2.36
48 S 0.2353 0.2292 0.4944  2 S 1.99-2.17
49 S 0.0432 0.5599 0.8218  1 S 1.90
50 F 0.8436 0.4432 0.2343  1 Sb 1.95
51 F 0.7631 0.7581 0.6944  1 Sb 1.92
52 F 0.9284 0.4598 0.0318  1 Sb 1.93
53 S 0.7353 0.2708 0.5056  2 S 1.99-2.17
54 S 0.2980 0.3661 0.5636  2 S 1.99-2.12
55 S 0.7647 0.7292 0.0056  2 S 1.99-2.17
56 F 0.9916 0.7879 0.3492  1 Sb 1.92
57 S 0.3539 0.3767 0.2095  1 S 1.90
58 S 0.7980 0.1339 0.4364  2 S 1.99-2.12
59 S 0.7808 0.0038 0.5454  1 S 2.12, 1 I 2.36
60 S 0.4568 0.4401 0.3218  1 S 1.90

Calculated values
crystal system	orthorhombic
formation energy (no corrections)	-1084	meV per atom
space group	No. 19

---

[7]
DFT (PBE) results for an optimized crystal structure of Rb3Cd2Sn4.

abc: 4.9067 7.4580 10.4911
angles: 105.81 90.00 109.21
Closest atoms and distances in Å follow each position.
Sites, in units of the cell vectors:
1 Sn 0.0838 0.1676 0.6423  2 Cd 2.88
2 Sn 0.7199 0.4397 0.0818  3 Cd 3.02-3.12, 3 Sn 3.24-3.38
3 Sn 0.2801 0.5603 0.9182  3 Cd 3.02-3.12, 3 Sn 3.24-3.38
4 Cd 0.3450 0.6900 0.2189  5 Sn 2.88-3.12
5 Sn 0.9162 0.8324 0.3577  2 Cd 2.88
6 Cd 0.6550 0.3100 0.7811  5 Sn 2.88-3.12
7 Rb 0.0000 0.0000 0.0000  8 Sn 3.85-4.27
8 Rb 0.3681 0.7363 0.6147  6 Sn 3.73-4.10, 2 Cd 3.91-4.07
9 Rb 0.6319 0.2637 0.3853  6 Sn 3.73-4.10, 2 Cd 3.91-4.07

Calculated values
crystal system	monoclinic
energy of formation	-11	kJ per mole of atoms
space group	No. 12

---

[8]
DFT (PBE) results for an optimized crystal structure of HfZr9Al2.

abc: 4.4344 4.4344 13.3054
angles: 90.00 90.00 90.00
Closest atoms and distances in Å follow each position.
Sites, in units of the cell vectors:
1 Zr 0.5000 0.0000 0.8283  2 Al 3.11, 8 Zr 3.13-3.18, 2 Hf 3.18
2 Zr 0.5000 0.0000 0.1717  2 Al 3.11, 8 Zr 3.13-3.18, 2 Hf 3.18
3 Zr 0.0000 0.5000 0.1717  2 Al 3.11, 8 Zr 3.13-3.18, 2 Hf 3.18
4 Zr 0.0000 0.5000 0.5000  8 Zr 3.09-3.14, 4 Al 3.11
5 Hf 0.0000 0.0000 0.0000  12 Zr 3.14-3.18
6 Zr 0.5000 0.0000 0.5000  8 Zr 3.09-3.14, 4 Al 3.11
7 Zr 0.5000 0.5000 0.6619  8 Zr 3.09-3.13, 4 Al 3.14
8 Zr 0.5000 0.5000 0.3381  8 Zr 3.09-3.13, 4 Al 3.14
9 Al 0.0000 0.0000 0.3361  12 Zr 3.11-3.14
10 Al 0.0000 0.0000 0.6639  12 Zr 3.11-3.14
11 Zr 0.5000 0.5000 0.0000  4 Hf 3.14, 8 Zr 3.18
12 Zr 0.0000 0.5000 0.8283  2 Al 3.11, 8 Zr 3.13-3.18, 2 Hf 3.18

Calculated values
crystal system	tetragonal
energy of formation	-17	kJ per mole of atoms
space group	No. 123

---

[9]
DFT (PBE) results for an optimized crystal structure of YTm3Te.

abc: 8.7945 8.7341 9.7848
angles: 127.92 90.00 90.00
Closest atoms and distances in Å follow each position.
Sites, in units of the cell vectors:
1 Te 0.2104 0.8836 0.4788  6 Tm 3.04-3.32, 2 Y 3.10-3.32
2 Tm 0.1217 0.0910 0.3218  2 Te 3.04-3.11, 1 Tm 3.38
3 Tm 0.3783 0.0910 0.8218  2 Te 3.04-3.11, 1 Tm 3.38
4 Tm 0.5595 0.7638 0.4237  2 Te 3.18-3.30, 2 Y 3.34-3.52, 4 Tm 3.38-3.49
5 Y 0.0650 0.3222 0.7686  2 Te 3.10-3.32, 2 Tm 3.31-3.34
6 Tm 0.9405 0.7638 0.9237  2 Te 3.18-3.30, 2 Y 3.34-3.52, 4 Tm 3.38-3.49
7 Y 0.9350 0.6778 0.2314  2 Te 3.10-3.32, 2 Tm 3.31-3.34
8 Tm 0.1749 0.5972 0.5692  2 Te 3.14-3.32, 1 Y 3.31, 3 Tm 3.37-3.49
9 Tm 0.0595 0.2362 0.0763  2 Te 3.18-3.30, 2 Y 3.34-3.52, 4 Tm 3.38-3.49
10 Y 0.4350 0.3222 0.2686  2 Te 3.10-3.32, 2 Tm 3.31-3.34
11 Tm 0.4405 0.2362 0.5763  2 Te 3.18-3.30, 2 Y 3.34-3.52, 4 Tm 3.38-3.49
12 Tm 0.6217 0.9090 0.1782  2 Te 3.04-3.11, 1 Tm 3.38
13 Y 0.5650 0.6778 0.7314  2 Te 3.10-3.32, 2 Tm 3.31-3.34
14 Te 0.7104 0.1164 0.0212  6 Tm 3.04-3.32, 2 Y 3.10-3.32
15 Te 0.2896 0.8836 0.9788  6 Tm 3.04-3.32, 2 Y 3.10-3.32
16 Tm 0.3251 0.5972 0.0692  2 Te 3.14-3.32, 1 Y 3.31, 3 Tm 3.37-3.49
17 Tm 0.8251 0.4028 0.4308  2 Te 3.14-3.32, 1 Y 3.31, 3 Tm 3.37-3.49
18 Te 0.7896 0.1164 0.5212  6 Tm 3.04-3.32, 2 Y 3.10-3.32
19 Tm 0.8783 0.9090 0.6782  2 Te 3.04-3.11, 1 Tm 3.38
20 Tm 0.6749 0.4028 0.9308  2 Te 3.14-3.32, 1 Y 3.31, 3 Tm 3.37-3.49

Calculated values
crystal system	monoclinic
formation energy (no corrections)	-366	meV per atom
space group	No. 14

---

[10]
DFT (PBE) results for an optimized crystal structure of TbNd6Ho5.

abc: 5.1243 10.1162 9.5324
angles: 122.04 105.58 90.01
Closest atoms and distances in Å follow each position.
Sites, in units of the cell vectors:
1 Nd 0.1667 0.9165 0.3334  7 Ho 3.59-3.60, 1 Tb 3.60, 4 Nd 3.62
2 Ho 0.6669 0.1669 0.3338  8 Nd 3.59-3.60, 2 Ho 3.62, 2 Tb 3.62
3 Ho 0.3334 0.3334 0.6667  8 Nd 3.59-3.60, 4 Ho 3.62
4 Nd 0.8333 0.0835 0.6666  7 Ho 3.59-3.60, 1 Tb 3.60, 4 Nd 3.62
5 Ho 0.3331 0.8331 0.6662  8 Nd 3.59-3.60, 2 Ho 3.62, 2 Tb 3.62
6 Nd 0.1667 0.4169 0.3334  7 Ho 3.59-3.60, 1 Tb 3.60, 4 Nd 3.62
7 Ho 0.6666 0.6666 0.3333  8 Nd 3.59-3.60, 4 Ho 3.62
8 Nd 0.5000 0.2503 0.0000  6 Ho 3.59-3.60, 2 Tb 3.60, 4 Nd 3.62
9 Nd 0.5000 0.7497 0.0000  6 Ho 3.59-3.60, 2 Tb 3.60, 4 Nd 3.62
10 Tb 0.0000 0.0000 0.0000  8 Nd 3.60, 4 Ho 3.62
11 Ho 0.0000 0.5000 0.0000  8 Nd 3.59-3.60, 4 Ho 3.62
12 Nd 0.8333 0.5831 0.6666  7 Ho 3.59-3.60, 1 Tb 3.60, 4 Nd 3.62

Calculated values
crystal system	orthorhombic
energy of formation	2	kJ per mole of atoms
space group	No. 71

---

[11]
DFT (PBE) results for an optimized crystal structure of Ac7OsBr12.

abc: 11.7119 10.1498 10.1498
angles: 106.15 112.62 112.62
Closest atoms and distances in Å follow each position.
Sites, in units of the cell vectors:
1 Ac 0.1087 0.8036 0.0982  1 Os 2.94, 3 Br 3.16-3.26
2 Br 0.1740 0.7152 0.8044  3 Ac 3.06-3.33
3 Br 0.2066 0.5324 0.1293  3 Ac 3.16-3.41
4 Br 0.8260 0.2848 0.1956  3 Ac 3.06-3.33
5 Br 0.7934 0.4676 0.8707  3 Ac 3.16-3.41
6 Br 0.6742 0.5969 0.4676  3 Ac 3.16-3.41
7 Ac 0.5000 0.0000 0.0000  6 Br 3.06
8 Br 0.3696 0.1956 0.9107  3 Ac 3.06-3.33
9 Br 0.6304 0.8044 0.0893  3 Ac 3.06-3.33
10 Ac 0.6949 0.7054 0.8036  1 Os 2.94, 3 Br 3.16-3.26
11 Br 0.3258 0.4031 0.5324  3 Ac 3.16-3.41
12 Br 0.0773 0.8707 0.4031  3 Ac 3.16-3.41
13 Br 0.9227 0.1293 0.5969  3 Ac 3.16-3.41
14 Br 0.5412 0.9107 0.7152  3 Ac 3.06-3.33
15 Br 0.4588 0.0893 0.2848  3 Ac 3.06-3.33
16 Ac 0.8913 0.1964 0.9018  1 Os 2.94, 3 Br 3.16-3.26
17 Ac 0.0105 0.9018 0.7054  1 Os 2.94, 3 Br 3.16-3.26
18 Ac 0.9895 0.0982 0.2946  1 Os 2.94, 3 Br 3.16-3.26
19 Os 0.0000 0.0000 0.0000  6 Ac 2.94
20 Ac 0.3051 0.2946 0.1964  1 Os 2.94, 3 Br 3.16-3.26

Calculated values
crystal system	trigonal
formation energy (no corrections)	-1637	meV per atom
space group	No. 148

---

[12]
DFT (PBE) results for an optimized crystal structure of PrDy2Ga6.

abc: 4.2001 7.3387 7.3387
angles: 120.00 90.00 90.00
Closest atoms and distances in Å follow each position.
Sites, in units of the cell vectors:
1 Ga 0.5000 0.0000 0.3350  3 Ga 2.42-2.46
2 Ga 0.5000 0.6650 0.6650  3 Ga 2.42-2.46
3 Ga 0.5000 0.0000 0.6650  3 Ga 2.42-2.46
4 Ga 0.5000 0.3350 0.0000  3 Ga 2.42-2.46
5 Ga 0.5000 0.3350 0.3350  3 Ga 2.42-2.46
6 Dy 0.0000 0.6667 0.3333  12 Ga 3.22
7 Pr 0.0000 0.0000 0.0000  12 Ga 3.23
8 Dy 0.0000 0.3333 0.6667  12 Ga 3.22
9 Ga 0.5000 0.6650 0.0000  3 Ga 2.42-2.46

Calculated values
crystal system	hexagonal
energy of formation	-63	kJ per mole of atoms
space group	No. 191

---

Number 1: uncorrected energy -129.1 eV per cell. Number 2: uncorrected energy -62.5 eV per cell. Number 3: uncorrected energy -46.1 eV per cell. Number 4: uncorrected energy -18.1 eV per cell. Number 5: uncorrected energy -18.9 eV per cell. Number 6: uncorrected energy -248.2 eV per cell. Number 7: uncorrected energy -21.8 eV per cell. Number 8: uncorrected energy -96.5 eV per cell. Number 9: uncorrected energy -99.4 eV per cell. Number 10: uncorrected energy -55.9 eV per cell. Number 11: uncorrected energy -92.8 eV per cell. Number 12: uncorrected energy -38.0 eV per cell.